Below is a relaxed Tb2Pm2Pr2Sm crystal, with properties calculated at the PBE-GGA level.

Output
electronic total energy = -4.71 eV per atom
magnetization = 0.0 Bohr magnetons per cell
energy of formation from the pure elements = 0.014 eV per atom

Lattice parameters (Å, degrees): 11.492 5.148 8.158 90.00 98.09 90.00
Space group C2/m (No. 12)
Asymmetric unit:
Tb 0.072 0.000 0.212 (multiplicity 4)
Pm 0.142 0.500 0.928 (multiplicity 4)
Pr 0.214 0.000 0.644 (multiplicity 4)
Sm 0.000 0.500 0.500 (multiplicity 2)